DFT (PBE-GGA) results for a relaxed structure of PtClO2.

a b c (Å): 4.035 4.035 4.035
angles (deg): 60.00 60.00 60.00
Atoms (fractional coordinates):
Pt 0.000 0.000 0.000
Cl 0.500 0.500 0.500
O 0.250 0.250 0.250
O 0.750 0.750 0.750

- space-group type = Fm-3m (225)
- electronic total energy (eV for the cell shown) = -13.05
- formation energy from raw total energies (meV/atom) = 1188
- total magnetization (μB/f.u.) = 0.00

DFT (PBE-GGA) results for a relaxed structure of Pt2ClO.

a b c (Å): 4.293 4.293 4.293
angles (deg): 60.00 60.00 60.00
Atoms (fractional coordinates):
Pt 0.250 0.250 0.250
Pt 0.750 0.750 0.750
Cl 0.000 0.000 0.000
O 0.500 0.500 0.500

- space-group type = Fm-3m (225)
- electronic total energy (eV for the cell shown) = -15.14
- formation energy from raw total energies (meV/atom) = 937
- total magnetization (μB/f.u.) = 0.00

DFT (PBE-GGA) results for a relaxed structure of PtClO2.

a b c (Å): 5.524 5.524 5.524
angles (deg): 101.75 101.75 126.34
Atoms (fractional coordinates):
Pt 0.000 0.000 0.000
Pt 0.750 0.250 0.500
Cl 0.250 0.750 0.500
Cl 0.500 0.500 0.000
O 0.375 0.018 0.143
O 0.768 0.625 0.643
O 0.875 0.232 0.857
O 0.982 0.125 0.357

- space-group type = I-42d (122)
- electronic total energy (eV for the cell shown) = -33.97
- formation energy from raw total energies (meV/atom) = 205
- total magnetization (μB/f.u.) = 0.00

DFT (PBE-GGA) results for a relaxed structure of PtClO2.

a b c (Å): 8.800 8.800 8.800
angles (deg): 18.64 18.64 18.64
Atoms (fractional coordinates):
Pt 0.000 0.000 0.000
Cl 0.500 0.500 0.500
O 0.069 0.069 0.069
O 0.931 0.931 0.931

- space-group type = R-3m (166)
- electronic total energy (eV for the cell shown) = -15.73
- formation energy from raw total energies (meV/atom) = 519
- total magnetization (μB/f.u.) = 0.00

DFT (PBE-GGA) results for a relaxed structure of Pt2ClO.

a b c (Å): 7.335 7.335 7.335
angles (deg): 142.20 142.20 54.53
Atoms (fractional coordinates):
Pt 0.375 0.232 0.357
Pt 0.768 0.125 0.143
Pt 0.875 0.018 0.643
Pt 0.982 0.625 0.857
Cl 0.250 0.750 0.500
Cl 0.500 0.500 0.000
O 0.000 0.000 0.000
O 0.750 0.250 0.500

- space-group type = I-42d (122)
- electronic total energy (eV for the cell shown) = -35.34
- formation energy from raw total energies (meV/atom) = 304
- total magnetization (μB/f.u.) = 0.00

DFT (PBE-GGA) results for a relaxed structure of PtCl4O5.

a b c (Å): 7.130 7.130 10.727
angles (deg): 90.88 90.88 111.04
Atoms (fractional coordinates):
Pt 0.135 0.865 0.500
Pt 0.865 0.135 0.000
Cl 0.096 0.984 0.946
Cl 0.100 0.920 0.717
Cl 0.129 0.442 0.995
Cl 0.442 0.129 0.495
Cl 0.614 0.819 0.980
Cl 0.819 0.614 0.480
Cl 0.920 0.100 0.217
Cl 0.984 0.096 0.446
O 0.205 0.796 0.251
O 0.255 0.680 0.522
O 0.354 0.920 0.204
O 0.417 0.435 0.730
O 0.435 0.417 0.230
O 0.563 0.590 0.726
O 0.590 0.563 0.226
O 0.680 0.255 0.022
O 0.796 0.205 0.751
O 0.920 0.354 0.704

- space-group type = Cc (9)
- electronic total energy (eV for the cell shown) = -76.00
- formation energy from raw total energies (meV/atom) = 22
- total magnetization (μB/f.u.) = 5.41

DFT (PBE-GGA) results for a relaxed structure of Pt3ClO.

a b c (Å): 4.342 4.342 4.342
angles (deg): 90.00 90.00 90.00
Atoms (fractional coordinates):
Pt 0.000 0.000 0.500
Pt 0.000 0.500 0.000
Pt 0.500 0.000 0.000
Cl 0.500 0.500 0.500
O 0.000 0.000 0.000

- space-group type = Pm-3m (221)
- electronic total energy (eV for the cell shown) = -20.38
- formation energy from raw total energies (meV/atom) = 910
- total magnetization (μB/f.u.) = 0.00

DFT (PBE-GGA) results for a relaxed structure of Rb2PtClO.

a b c (Å): 6.025 6.025 3.822
angles (deg): 90.00 90.00 90.00
Atoms (fractional coordinates):
Rb 0.000 0.500 0.000
Rb 0.500 0.000 0.000
Pt 0.000 0.000 0.500
Cl 0.500 0.500 0.500
O 0.000 0.000 0.000

- space-group type = P4/mmm (123)
- electronic total energy (eV for the cell shown) = -20.57
- formation energy from raw total energies (meV/atom) = -1158
- total magnetization (μB/f.u.) = 0.52

DFT (PBE-GGA) results for a relaxed structure of SbPt2ClO.

a b c (Å): 4.198 4.198 5.224
angles (deg): 90.00 90.00 90.00
Atoms (fractional coordinates):
Sb 0.000 0.000 0.000
Pt 0.000 0.500 0.500
Pt 0.500 0.000 0.500
Cl 0.500 0.500 0.000
O 0.000 0.000 0.500

- space-group type = P4/mmm (123)
- electronic total energy (eV for the cell shown) = -20.98
- formation energy from raw total energies (meV/atom) = 405
- total magnetization (μB/f.u.) = 0.00

DFT (PBE-GGA) results for a relaxed structure of Pu2ClO6.

a b c (Å): 4.689 5.906 6.237
angles (deg): 91.98 97.19 95.51
Atoms (fractional coordinates):
Pu 0.074 0.258 0.136
Pu 0.926 0.742 0.864
Cl 0.000 0.500 0.500
O 0.142 0.077 0.865
O 0.241 0.624 0.016
O 0.384 0.169 0.294
O 0.616 0.831 0.706
O 0.759 0.376 0.984
O 0.858 0.923 0.135

- space-group type = P-1 (2)
- electronic total energy (eV for the cell shown) = -78.81
- formation energy from raw total energies (meV/atom) = -2061
- total magnetization (μB/f.u.) = 3.00

DFT (PBE-GGA) results for a relaxed structure of PuCl2O.

a b c (Å): 7.198 7.198 7.198
angles (deg): 146.89 146.63 47.72
Atoms (fractional coordinates):
Pu 0.000 0.000 0.000
Cl 0.366 0.866 0.500
Cl 0.634 0.134 0.500
O 0.000 0.500 0.500

- space-group type = Immm (71)
- electronic total energy (eV for the cell shown) = -31.85
- formation energy from raw total energies (meV/atom) = -2217
- total magnetization (μB/f.u.) = 4.00

DFT (PBE-GGA) results for a relaxed structure of Pu2ClO.

a b c (Å): 7.360 7.360 7.360
angles (deg): 27.85 27.85 27.85
Atoms (fractional coordinates):
Pu 0.231 0.231 0.231
Pu 0.769 0.769 0.769
Cl 0.000 0.000 0.000
O 0.500 0.500 0.500

- space-group type = R-3m (166)
- electronic total energy (eV for the cell shown) = -42.42
- formation energy from raw total energies (meV/atom) = -1739
- total magnetization (μB/f.u.) = 11.46